[1]
## FeCo (PBE-GGA)

Data for a relaxed FeCo crystal.

Cell and atoms, written as extended XYZ:
```
6
Lattice="2.503 0.000 0.000 0.000 2.503 0.000 0.000 0.000 10.881" Properties=species:S:1:pos:R:3 pbc="T T T"
Fe 0.000 0.000 0.000
Fe 0.000 0.000 3.593
Fe 1.251 1.251 5.518
Co 0.000 0.000 7.363
Co 1.251 1.251 1.795
Co 1.251 1.251 9.042
```

Energy relative to the elements: 0.0463 eV/atom
Raw total energy: -7.74 eV/atom
M_tot: 4.11 μB/f.u.



[2]
## Co3MoBr (PBE-GGA)

Data for a relaxed Co3MoBr crystal.

Cell and atoms, written as extended XYZ:
```
5
Lattice="4.548 0.000 0.000 0.000 4.548 0.000 0.000 0.000 4.548" Properties=species:S:1:pos:R:3 pbc="T T T"
Co 0.000 0.000 2.274
Co 0.000 2.274 0.000
Co 2.274 0.000 0.000
Mo 0.000 0.000 0.000
Br 2.274 2.274 2.274
```

Raw total energy: -5.18 eV/atom
Excess energy over the best structure of this formula in the dataset: 122 meV/atom
M_tot: 2.67 μB/f.u.
Uncorrected formation energy: 152 kJ/mol of atoms



[3]
## PrHf2In (PBE-GGA)

Data for a relaxed PrHf2In crystal.

Cell and atoms, written as extended XYZ:
```
4
Lattice="1.596 0.922 11.456 -1.596 0.922 11.456 0.000 -1.843 11.456" Properties=species:S:1:pos:R:3 pbc="T T T"
Pr 0.000 0.000 0.000
Hf 0.000 0.000 3.172
Hf 0.000 0.000 31.195
In 0.000 0.000 17.183
```

Energy relative to the elements: 0.2981 eV/atom
Raw total energy: -6.56 eV/atom
M_tot: 0.00 μB/f.u.